Compound: Mg2ZrNi
Source: Alexandria via LeMat-Bulk
Functional: GGA-PBEsol
Structure: relaxed

Cell and atoms, written as POSCAR:
```
Mg2ZrNi
1.0
4.8524 -1.4945 0.0000
4.8524 1.4945 0.0000
-2.1193 0.0000 5.1230
Mg Zr Ni
2 1 1
Cartesian
0.0000 0.0000 0.0000 Mg
0.4281 0.0000 3.9851 Mg
3.0564 0.0000 2.2067 Zr
5.8419 0.0000 1.8920 Ni
```

Properties
Its crystal system is monoclinic. The space-group type is No. 8. The calculated formation energy is 0.03 eV per atom. The density of states at the Fermi level comes out at 3.3 states/eV/cell.

---

Compound: Mg2ZrNi
Source: Alexandria via LeMat-Bulk
Functional: GGA-PBEsol
Structure: relaxed

Cell and atoms, written as POSCAR:
```
Mg2ZrNi
1.0
1.4865 0.8582 9.3817
-1.4865 0.8582 9.3817
0.0000 -1.7165 9.3817
Mg Zr Ni
2 1 1
Cartesian
0.0000 0.0000 6.6475 Mg
0.0000 0.0000 21.4977 Mg
0.0000 0.0000 0.0000 Zr
0.0000 0.0000 14.0726 Ni
```

Properties
Its crystal system is trigonal. The space-group type is No. 166. The calculated formation energy is 0.13 eV per atom. The density of states at the Fermi level comes out at 3.4 states/eV/cell.

---

Compound: Mg2ZrNi
Source: Alexandria via LeMat-Bulk
Functional: GGA-PBEsol
Structure: relaxed

Cell and atoms, written as POSCAR:
```
Mg2ZrNi
1.0
1.5654 0.9038 9.0490
-1.5654 0.9038 9.0490
0.0000 -1.8076 9.0490
Mg Zr Ni
2 1 1
Cartesian
0.0000 0.0000 0.0000 Mg
0.0000 0.0000 6.4059 Mg
0.0000 0.0000 12.8003 Zr
0.0000 0.0000 20.0493 Ni
```

Properties
Its crystal system is trigonal. The space-group type is No. 160. The calculated formation energy is 0.04 eV per atom. The density of states at the Fermi level comes out at 2.5 states/eV/cell.

---

Compound: Mg2ZrNi
Source: Alexandria via LeMat-Bulk
Functional: GGA-PBEsol
Structure: relaxed

Cell and atoms, written as POSCAR:
```
Mg2ZrNi
1.0
2.9038 0.0000 0.0000
0.0000 4.5528 0.0000
-1.3799 0.0000 5.3236
Mg Zr Ni
2 1 1
Cartesian
0.0893 0.0000 1.4603 Mg
1.4346 0.0000 3.8633 Mg
1.4519 2.2764 0.0000 Zr
-0.6900 2.2764 2.6618 Ni
```

Properties
Its crystal system is monoclinic. The space-group type is No. 10. The calculated formation energy is 0.08 eV per atom. The density of states at the Fermi level comes out at 3.1 states/eV/cell.